# 1
Material: BeZnS2
Method: DFT, GGA-PBE
State: relaxed

Calculated values
The energy relative to the lowest polymorph listed for this composition is 0.211 eV/atom. Its density of states at the Fermi level is 0.000 states/eV per atom. The formation energy without anion corrections is -711 meV/atom.

POSCAR file:
```
BeZnS2
1.0
-21.2513 -10.0973 7.4184
1.2059 -0.0831 3.3414
4.4262 6.5496 -1.4345
S Be Zn
8 4 4
direct
0.8616 0.9999 0.4766
0.1384 0.0001 0.5234
0.6384 0.4999 0.0234
0.3616 0.5001 0.9766
0.9074 0.5000 0.0428
0.5926 0.0000 0.4572
0.4074 0.0000 0.5428
0.0926 0.5000 0.9572
0.4870 0.4999 0.7129
0.9870 0.0001 0.2129
0.0130 0.9999 0.7871
0.5130 0.5001 0.2871
0.8366 0.4998 0.5931
0.3366 0.0002 0.0931
0.6634 0.9998 0.9069
0.1634 0.5002 0.4069
```

***

# 2
Material: BeZnS
Method: DFT, GGA-PBE
State: relaxed

Calculated values
The energy relative to the lowest polymorph listed for this composition is 0.000 eV/atom. The formation energy without anion corrections is -373 meV/atom.

POSCAR file:
```
BeZnS
1.0
-4.1946 3.6476 -1.2689
-2.1398 -2.6127 -0.4367
-0.0479 -0.9336 5.8199
Zn Be S
2 2 2
direct
0.8724 0.5000 0.1369
0.8724 0.0000 0.6369
0.4415 0.5000 0.9926
0.4415 0.0000 0.4926
0.3221 0.5000 0.2895
0.3221 0.0000 0.7895
```

***

# 3
Material: BeZnS2
Method: DFT, GGA-PBE
State: relaxed

Calculated values
The energy relative to the lowest polymorph listed for this composition is 0.619 eV/atom. Its density of states at the Fermi level is 0.000 states/eV per atom. The formation energy without anion corrections is -303 meV/atom.

POSCAR file:
```
BeZnS2
1.0
-6.6943 -2.0075 -2.3061
5.4799 -0.2092 4.9080
-3.1448 6.1520 3.7734
Be S Zn
2 4 2
direct
0.6565 0.3435 0.7500
0.3435 0.6565 0.2500
0.2099 0.7901 0.2500
0.0869 0.9131 0.7500
0.7901 0.2099 0.7500
0.9131 0.0869 0.2500
0.9351 0.0649 0.7500
0.0649 0.9351 0.2500
```

***

# 4
Material: BeZnS3
Method: DFT, GGA-PBE
State: relaxed

Calculated values
The energy relative to the lowest polymorph listed for this composition is 0.000 eV/atom. Its density of states at the Fermi level is 0.806 states/eV per atom. The formation energy without anion corrections is 360 meV/atom.

POSCAR file:
```
BeZnS3
1.0
-4.2830 -0.4313 0.5296
0.2052 -4.0201 -1.6147
0.6514 -1.5695 3.9903
S Be Zn
3 1 1
direct
0.0000 0.0000 0.5000
0.5000 0.0000 0.0000
0.0000 0.5000 0.0000
0.0000 0.0000 0.0000
0.5000 0.5000 0.5000
```

***

# 5
Material: BeZnS2
Method: DFT, GGA-PBE
State: relaxed

Calculated values
The energy relative to the lowest polymorph listed for this composition is 0.047 eV/atom. Its density of states at the Fermi level is 0.000 states/eV per atom. The formation energy without anion corrections is -875 meV/atom.

POSCAR file:
```
BeZnS2
1.0
-0.6106 3.5599 -0.4428
-2.6924 -2.3886 -0.5371
-4.8641 1.6261 4.8265
S Be Zn
2 1 1
direct
0.8771 0.2809 0.1787
0.0005 0.0709 0.7217
0.2256 0.6294 0.8300
0.3884 0.4590 0.3341
```

***

# 6
Material: BeZnS2
Method: DFT, GGA-PBE
State: relaxed

Calculated values
The energy relative to the lowest polymorph listed for this composition is 0.403 eV/atom. Its density of states at the Fermi level is 0.000 states/eV per atom. The formation energy without anion corrections is -519 meV/atom.

POSCAR file:
```
BeZnS2
1.0
-7.6534 0.7256 11.2469
5.8126 -3.8304 -11.7105
2.4819 -1.7405 1.8012
S Zn Be
4 2 2
direct
0.8019 0.1981 0.7500
0.1981 0.8019 0.2500
0.0549 0.9451 0.7500
0.9451 0.0549 0.2500
0.2873 0.7127 0.2500
0.7127 0.2873 0.7500
0.0216 0.9784 0.2500
0.9784 0.0216 0.7500
```

***

# 7
Material: BeZnS2
Method: DFT, GGA-PBE
State: relaxed

Calculated values
The energy relative to the lowest polymorph listed for this composition is 0.204 eV/atom. Its density of states at the Fermi level is 0.000 states/eV per atom. The formation energy without anion corrections is -718 meV/atom.

POSCAR file:
```
BeZnS2
1.0
16.4930 0.0000 -2.3874
3.3499 4.6302 -4.2294
-3.3499 4.6302 4.2294
Zn Be S
8 8 16
direct
0.4188 0.8995 0.3584
0.0812 0.8584 0.3995
0.3457 0.4890 0.0263
0.5812 0.1005 0.6416
0.6543 0.5110 0.9737
0.1543 0.5263 0.9890
0.9188 0.1416 0.6005
0.8457 0.4737 0.0110
0.6423 0.3813 0.4171
0.1423 0.0829 0.1187
0.1503 0.1442 0.6528
0.6503 0.8472 0.3558
0.3577 0.6187 0.5829
0.8497 0.8558 0.3472
0.3497 0.1528 0.6442
0.8577 0.9171 0.8813
0.2429 0.2192 0.2738
0.0440 0.1967 0.2684
0.9560 0.8033 0.7316
0.2500 0.7140 0.2140
0.5440 0.2316 0.3033
0.5443 0.7274 0.2615
0.2571 0.7738 0.7192
0.7500 0.7131 0.2131
0.7429 0.2262 0.2808
0.2500 0.2869 0.7869
0.4557 0.2726 0.7385
0.0443 0.2385 0.7726
0.7571 0.7808 0.7262
0.7500 0.2860 0.7860
0.9557 0.7615 0.2274
0.4560 0.7684 0.6967
```

***

# 8
Material: BeZnS2
Method: DFT, GGA-PBE
State: relaxed

Calculated values
The energy relative to the lowest polymorph listed for this composition is 1.271 eV/atom. Its density of states at the Fermi level is 0.466 states/eV per atom. The formation energy without anion corrections is 348 meV/atom.

POSCAR file:
```
BeZnS2
1.0
0.0000 3.0791 3.0791
3.0791 0.0000 3.0791
3.0791 3.0791 0.0000
S Zn Be
2 1 1
direct
0.2500 0.2500 0.2500
0.7500 0.7500 0.7500
0.5000 0.5000 0.5000
0.0000 0.0000 0.0000
```

***

# 9
Material: BeZnS
Method: DFT, GGA-PBE
State: relaxed

Calculated values
The energy relative to the lowest polymorph listed for this composition is 0.181 eV/atom. Its density of states at the Fermi level is 0.073 states/eV per atom. The formation energy without anion corrections is -192 meV/atom.

POSCAR file:
```
BeZnS
1.0
3.3959 0.0000 0.0001
0.0000 3.4186 0.0000
-0.8880 0.0000 4.5295
Be Zn S
1 1 1
direct
0.6609 0.0000 0.2997
0.8783 0.5000 0.6817
0.0969 0.0000 0.0550
```

***

# 10
Material: BeZnS
Method: DFT, GGA-PBE
State: relaxed

Calculated values
The energy relative to the lowest polymorph listed for this composition is 0.081 eV/atom. The formation energy without anion corrections is -292 meV/atom.

POSCAR file:
```
BeZnS
1.0
-5.3194 -2.7222 3.1755
1.9529 -2.6155 1.0292
1.4116 2.9948 4.9320
Zn Be S
2 2 2
direct
0.5000 0.0000 0.4986
0.5000 0.5000 0.9986
0.0000 0.5000 0.3405
0.0000 0.0000 0.8405
0.0000 0.0000 0.1735
0.0000 0.5000 0.6735
```

***

# 11
Material: BeZnS
Method: DFT, GGA-PBE
State: relaxed

Calculated values
The energy relative to the lowest polymorph listed for this composition is 0.198 eV/atom. Its density of states at the Fermi level is 0.029 states/eV per atom. The formation energy without anion corrections is -176 meV/atom.

POSCAR file:
```
BeZnS
1.0
-1.8398 -1.2801 2.2566
-1.9505 -1.8661 -2.6565
3.3617 -3.0060 1.0253
Be Zn S
1 1 1
direct
0.3882 0.7683 0.0082
0.8783 0.0262 0.4030
0.8876 0.6059 0.7535
```

***

# 12
Material: BeZnS2
Method: DFT, GGA-PBE
State: relaxed

Calculated values
The energy relative to the lowest polymorph listed for this composition is 0.980 eV/atom. Its density of states at the Fermi level is 0.024 states/eV per atom. The formation energy without anion corrections is 58 meV/atom.

POSCAR file:
```
BeZnS2
1.0
-4.4252 3.5661 2.9422
-3.3289 -5.2840 1.3977
-2.3708 -1.1238 4.7564
S Zn Be
4 2 2
direct
0.6979 0.8021 0.0000
0.3021 0.1979 0.0000
0.1979 0.6979 0.0000
0.8021 0.3021 0.0000
0.7500 0.2500 0.5000
0.2500 0.7500 0.5000
0.2500 0.2500 0.5000
0.7500 0.7500 0.5000
```

***

# 13
Material: ZrBeS2
Method: DFT, GGA-PBE
State: relaxed

Calculated values
Its density of states at the Fermi level is 0.236 states/eV per atom. The formation energy without anion corrections is -846 meV/atom.

POSCAR file:
```
ZrBeS2
1.0
2.0310 0.0000 7.1604
-1.0155 1.7589 7.1604
-1.0155 -1.7589 7.1604
Be Zr S
1 1 2
direct
0.0000 0.0000 0.0000
0.5000 0.5000 0.5000
0.0899 0.0899 0.0899
0.9101 0.9101 0.9101
```

***

# 14
Material: ZrBe3S
Method: DFT, GGA-PBE
State: relaxed

Calculated values
The energy relative to the lowest polymorph listed for this composition is 1.338 eV/atom. Its density of states at the Fermi level is 0.555 states/eV per atom. The formation energy without anion corrections is 1899 meV/atom.

POSCAR file:
```
ZrBe3S
1.0
4.7776 0.0000 0.0000
0.0000 4.7776 0.0000
0.0000 0.0000 4.7776
Be S Zr
3 1 1
direct
0.0000 0.0000 0.5000
0.5000 0.0000 0.0000
0.0000 0.5000 0.0000
0.5000 0.5000 0.5000
0.0000 0.0000 0.0000
```

***

# 15
Material: ZrBeS2
Method: DFT, GGA-PBE
State: relaxed

Calculated values
Its density of states at the Fermi level is 0.554 states/eV per atom. The formation energy without anion corrections is -840 meV/atom.

POSCAR file:
```
ZrBeS2
1.0
5.6801 0.0000 0.0000
0.0000 5.6801 0.0000
2.8401 2.8401 4.5613
Zr S Be
2 4 2
direct
0.7500 0.2500 0.5000
0.0000 0.0000 0.0000
0.5559 0.1250 0.2500
0.3750 0.4441 0.7500
0.1941 0.6250 0.2500
0.8750 0.8059 0.7500
0.5000 0.5000 0.0000
0.2500 0.7500 0.5000
```

***

# 16
Material: ZrBeS3
Method: DFT, GGA-PBE
State: relaxed

Calculated values
The energy relative to the lowest polymorph listed for this composition is 0.000 eV/atom. Its density of states at the Fermi level is 0.279 states/eV per atom. The formation energy without anion corrections is -377 meV/atom.

POSCAR file:
```
ZrBeS3
1.0
4.3173 0.0000 0.0000
0.0000 4.3173 0.0000
0.0000 0.0000 4.3173
S Zr Be
3 1 1
direct
0.5000 0.0000 0.0000
0.0000 0.5000 0.0000
0.0000 0.0000 0.5000
0.5000 0.5000 0.5000
0.0000 0.0000 0.0000
```

***

# 17
Material: ZrBe2S
Method: DFT, GGA-PBE
State: relaxed

Calculated values
Its density of states at the Fermi level is 0.578 states/eV per atom. The formation energy without anion corrections is -118 meV/atom.

POSCAR file:
```
ZrBe2S
1.0
-5.2027 -4.1477 -0.9780
1.6905 -3.4255 5.5350
-3.2168 -2.2795 3.6574
Zr Be S
2 4 2
direct
0.0000 0.0000 0.0000
0.7500 0.2500 0.5000
0.3750 0.4390 0.7500
0.5610 0.1250 0.2500
0.1890 0.6250 0.2500
0.8750 0.8110 0.7500
0.5000 0.5000 0.0000
0.2500 0.7500 0.5000
```

***

# 18
Material: Zr3BeS2
Method: DFT, GGA-PBE
State: relaxed

Calculated values
Its density of states at the Fermi level is 0.544 states/eV per atom. The formation energy without anion corrections is -814 meV/atom.

POSCAR file:
```
Zr3BeS2
1.0
3.5386 0.0000 0.0000
0.0000 10.6959 0.0000
0.0000 0.0000 10.1542
Zr S Be
12 8 4
direct
0.2500 0.7987 0.7030
0.7500 0.8750 0.4367
0.7500 0.5568 0.6229
0.7500 0.6250 0.9367
0.2500 0.4432 0.3771
0.2500 0.1250 0.5633
0.2500 0.0568 0.8771
0.2500 0.3750 0.0633
0.2500 0.7013 0.2030
0.7500 0.2987 0.7970
0.7500 0.2013 0.2970
0.7500 0.9432 0.1229
0.7500 0.9823 0.6891
0.7500 0.1881 0.0276
0.2500 0.8119 0.9724
0.2500 0.0177 0.3109
0.7500 0.5177 0.1891
0.2500 0.6881 0.4724
0.7500 0.3119 0.5276
0.2500 0.4823 0.8109
0.2500 0.1254 0.1275
0.7500 0.8746 0.8725
0.7500 0.6254 0.3725
0.2500 0.3746 0.6275
```

***

# 19
Material: ZrBeS
Method: DFT, GGA-PBE
State: relaxed

Calculated values
Its density of states at the Fermi level is 0.479 states/eV per atom. The formation energy without anion corrections is -504 meV/atom.

POSCAR file:
```
ZrBeS
1.0
-2.3931 -1.0830 2.5079
1.0140 -2.3398 2.5867
0.9603 8.5596 7.2422
S Zr Be
2 2 2
direct
0.7688 0.6241 0.8384
0.2312 0.3759 0.1616
0.8140 0.0874 0.2846
0.1860 0.9126 0.7154
0.6406 0.1808 0.5380
0.3594 0.8192 0.4620
```

***

# 20
Material: ZrBe3S
Method: DFT, GGA-PBE
State: relaxed

Calculated values
The energy relative to the lowest polymorph listed for this composition is 0.000 eV/atom. Its density of states at the Fermi level is 0.841 states/eV per atom. The formation energy without anion corrections is 560 meV/atom.

POSCAR file:
```
ZrBe3S
1.0
4.1167 0.0000 0.0000
0.0000 4.1167 0.0000
0.0000 0.0000 4.1167
S Zr Be
1 1 3
direct
0.0000 0.0000 0.0000
0.5000 0.5000 0.5000
0.5000 0.0000 0.0000
0.0000 0.0000 0.5000
0.0000 0.5000 0.0000
```